# CrGe2Br6, optimized geometry, DFT GGA-PBE
# formation energy without anion corrections	-566	meV/atom
# V	32.33	A^3/atom
# total moment	8.0	μB/cell
data_CrGe2Br6
_cell_length_a 17.7459
_cell_length_b 4.0407
_cell_length_c 8.4178
_cell_angle_alpha 90.00
_cell_angle_beta 105.41
_cell_angle_gamma 90.00
_space_group_name_H-M_alt 'C 1 2/m 1'
_space_group_IT_number 12
_space_group_name_Hall '-C 2y'
loop_
_atom_site_label
_atom_site_fract_x
_atom_site_fract_y
_atom_site_fract_z
Cr1 0.0000 0.0000 0.0000
Ge1 0.1603 0.5000 0.3300
Br1 0.0042 0.5000 0.2246
Br2 0.1487 0.0000 0.0746
Br3 0.1596 0.0000 0.5553

# CaHo2Hg3, optimized geometry, DFT GGA-PBE
# formation enthalpy at 0 K	-515	meV per atom
# V	25.73	A^3/atom
# total moment	0.0	μB/cell
data_CaHo2Hg3
_cell_length_a 5.2608
_cell_length_b 5.2608
_cell_length_c 12.8819
_cell_angle_alpha 90.00
_cell_angle_beta 90.00
_cell_angle_gamma 120.00
_space_group_name_H-M_alt 'P -3 m 1'
_space_group_IT_number 164
_space_group_name_Hall '-P 3 2"'
loop_
_atom_site_label
_atom_site_fract_x
_atom_site_fract_y
_atom_site_fract_z
Ca1 0.3333 0.6667 0.1666
Ho1 0.0000 0.0000 0.0000
Ho2 0.0000 0.0000 0.5000
Ho3 0.3333 0.6667 0.6674
Hg1 0.0000 0.0000 0.2522
Hg2 0.3333 0.6667 0.4186
Hg3 0.3333 0.6667 0.9164

> The lowest total moment belongs to which entry?

CaHo2Hg3